The following is a GGA+U calculation of a relaxed structure of RbFeO2, from Alexandria.

Summary:
For the total energy, the calculation gives -88.20 eV for the cell shown. The value obtained for the theoretical density is 3.439 Mg/m³.

Cell and atoms, written as CIF:
```
data_RbFeO2
_chemical_formula_sum 'Rb4 Fe4 O8'
_symmetry_space_group_name_H-M 'C m c m'
_symmetry_Int_Tables_number 63
_symmetry_space_group_name_Hall '-C 2c 2'
_cell_length_a 4.945
_cell_length_b 12.210
_cell_length_c 5.544
_cell_angle_alpha 90.00
_cell_angle_beta 90.00
_cell_angle_gamma 90.00
loop_
_atom_site_label
_atom_site_fract_x
_atom_site_fract_y
_atom_site_fract_z
Rb1 0.000 0.194 0.250
Fe1 0.000 0.498 0.250
O1 0.000 0.397 0.504
```